1.
VASP calculation (GGA-PBE) on a geometry-optimized Nd4N3O structure.

Computed properties:
Fermi-level density of states = 1.517 states/eV/f.u.
Formation energy without anion corrections = -1.786 eV/atom
SG = Cmmm (65)
E = -7.912 eV/atom
Relative energy among the computed polymorphs = 0 meV per atom

Structure (CIF):
```
data_Nd4N3O
_cell_length_a 6.285
_cell_length_b 6.285
_cell_length_c 3.630
_cell_angle_alpha 90.00
_cell_angle_beta 90.00
_cell_angle_gamma 109.37
_space_group_name_H-M_alt 'P 1'
_space_group_IT_number 1
_space_group_name_Hall 'P 1'
loop_
_atom_site_label
_atom_site_type_symbol
_atom_site_fract_x
_atom_site_fract_y
_atom_site_fract_z
Nd1 Nd 0.245 0.245 0.500
Nd2 Nd 0.248 0.752 0.000
Nd3 Nd 0.752 0.248 0.000
Nd4 Nd 0.755 0.755 0.500
N1 N 0.000 0.000 0.000
N2 N 0.000 0.500 0.500
N3 N 0.500 0.000 0.500
O1 O 0.500 0.500 0.000
```

2.
VASP calculation (GGA-PBE) on a geometry-optimized Nd8N2O structure.

Computed properties:
Fermi-level density of states = 10.927 states/eV/f.u.
Formation energy without anion corrections = -0.918 eV/atom
SG = C2/m (12)
E = -6.350 eV/atom

Structure (CIF):
```
data_Nd8N2O
_cell_length_a 7.240
_cell_length_b 7.240
_cell_length_c 5.610
_cell_angle_alpha 90.31
_cell_angle_beta 90.31
_cell_angle_gamma 72.72
_space_group_name_H-M_alt 'P 1'
_space_group_IT_number 1
_space_group_name_Hall 'P 1'
loop_
_atom_site_label
_atom_site_type_symbol
_atom_site_fract_x
_atom_site_fract_y
_atom_site_fract_z
Nd1 Nd 0.115 0.686 0.761
Nd2 Nd 0.183 0.183 0.751
Nd3 Nd 0.314 0.885 0.239
Nd4 Nd 0.397 0.397 0.251
Nd5 Nd 0.603 0.603 0.749
Nd6 Nd 0.686 0.115 0.761
Nd7 Nd 0.817 0.817 0.249
Nd8 Nd 0.885 0.314 0.239
N1 N 0.391 0.391 0.734
N2 N 0.609 0.609 0.266
O1 O 0.000 0.000 0.000
```

3.
VASP calculation (GGA-PBE) on a geometry-optimized NdNO structure.

Computed properties:
Formation energy without anion corrections = -1.268 eV/atom
SG = P-3m1 (164)
E = -7.285 eV/atom
Relative energy among the computed polymorphs = 548 meV per atom

Structure (CIF):
```
data_NdNO
_cell_length_a 3.608
_cell_length_b 3.608
_cell_length_c 9.052
_cell_angle_alpha 90.00
_cell_angle_beta 90.00
_cell_angle_gamma 120.00
_space_group_name_H-M_alt 'P 1'
_space_group_IT_number 1
_space_group_name_Hall 'P 1'
loop_
_atom_site_label
_atom_site_type_symbol
_atom_site_fract_x
_atom_site_fract_y
_atom_site_fract_z
Nd1 Nd 0.000 0.000 0.216
Nd2 Nd 0.000 0.000 0.784
N1 N 0.333 0.667 0.982
N2 N 0.667 0.333 0.018
O1 O 0.333 0.667 0.312
O2 O 0.667 0.333 0.688
```

Number 1: M_tot 0.000 μB per cell. Number 2: M_tot 0.000 μB per cell. Number 3: M_tot 0.000 μB per cell.